GGA-PBE MgTlCr2, relaxed; raw total energy = -5.07 eV/atom; calculated volume = 16.04 Å³ per atom; N(E_F) = 0.93 states/eV/atom; SG = Immm, No. 71; formation energy = 0.7345 eV/atom
1.0
-1.7233 2.0950 4.4414
1.7233 -2.0950 4.4414
1.7233 2.0950 -4.4414
Mg Tl Cr
1 1 2
Direct
0.0000 0.0000 0.0000
0.5000 0.5000 0.0000
0.2495 0.7495 0.5000
0.7505 0.2505 0.5000

GGA-PBE In2MoCl, relaxed; raw total energy = -4.40 eV/atom; E_form (uncorrected) = 139 meV/atom; calculated volume = 20.75 Å³ per atom; N(E_F) = 0.21 states/eV/atom; offset from the most stable computed form = 58 meV/atom; SG = Cmmm, No. 65
1.0
3.7193 -3.7275 0.0000
3.7193 3.7275 0.0000
0.0000 0.0000 2.9940
In Mo Cl
2 1 1
Direct
0.0000 0.5000 0.0000
0.5000 0.0000 0.0000
0.0000 0.0000 0.5000
0.5000 0.5000 0.5000

> calculated volume of number 2 (In2MoCl)?

20.75 Å³ per atom